The following is a SCAN calculation of a crystal of CsTlCd2 relaxed with PBEsol, from the Alexandria database.

POSCAR file:
```
CsTlCd2
1.0
5.633 0.000 0.000
2.817 4.879 0.000
2.817 1.626 4.600
Cd Cs Tl
2 1 1
direct
0.750 0.750 0.750
0.250 0.250 0.250
0.000 0.000 0.000
0.500 0.500 0.500
```

## Properties
calculated formation energy: 0.46 eV/f.u.
calculated total energy: -42.63 eV per atom
spin magnetization: 0.000 μB/f.u.

---

The following is a SCAN calculation of a crystal of Cs5Tl11Cd2 relaxed with PBEsol, from the Alexandria database.

POSCAR file:
```
Cs5Tl11Cd2
1.0
5.510 0.000 0.000
0.000 11.167 0.002
0.000 -3.365 10.648
Tl Cs Cd
11 5 2
direct
0.000 0.432 0.432
0.500 0.290 0.975
0.500 0.789 0.983
0.000 0.838 0.838
0.000 0.837 0.151
0.500 0.975 0.290
0.000 0.151 0.837
0.500 0.283 0.283
0.000 0.141 0.344
0.000 0.344 0.141
0.500 0.983 0.789
0.500 0.630 0.630
0.500 0.230 0.610
0.000 0.513 0.892
0.500 0.610 0.230
0.000 0.892 0.513
0.750 0.062 0.062
0.250 0.062 0.062
```

## Properties
calculated formation energy: -3.84 eV/f.u.
calculated total energy: -58.31 eV per atom
spin magnetization: 0.000 μB/f.u.

---

The following is a SCAN calculation of a crystal of Cs2TlCd2 relaxed with PBEsol, from the Alexandria database.

POSCAR file:
```
Cs2TlCd2
1.0
6.152 0.000 0.000
0.000 7.874 0.000
0.000 0.000 7.874
Cs Cd Tl
4 4 2
direct
0.500 0.322 0.178
0.500 0.822 0.322
0.500 0.678 0.822
0.500 0.178 0.678
0.000 0.367 0.867
0.000 0.633 0.133
0.000 0.867 0.633
0.000 0.133 0.367
0.000 0.500 0.500
0.000 0.000 0.000
```

## Properties
calculated formation energy: -0.06 eV/f.u.
calculated total energy: -41.77 eV per atom
spin magnetization: 0.000 μB/f.u.

---

The following is a SCAN calculation of a crystal of CsYCd2 relaxed with PBEsol, from the Alexandria database.

POSCAR file:
```
CsYCd2
1.0
5.633 0.000 0.000
2.817 4.879 0.000
2.817 1.626 4.600
Cd Y Cs
2 1 1
direct
0.750 0.750 0.750
0.250 0.250 0.250
0.000 0.000 0.000
0.500 0.500 0.500
```

## Properties
calculated formation energy: 0.87 eV/f.u.
calculated total energy: -31.40 eV per atom
spin magnetization: 0.000 μB/f.u.

---

The following is a SCAN calculation of a crystal of CsZn2Cd2 relaxed with PBEsol, from the Alexandria database.

POSCAR file:
```
CsZn2Cd2
1.0
5.022 0.000 0.000
0.000 5.022 0.000
-2.511 -2.511 5.316
Zn Cs Cd
2 1 2
direct
0.750 0.250 0.500
0.250 0.750 0.500
0.000 0.000 0.000
0.361 0.361 0.721
0.639 0.639 0.279
```

## Properties
calculated formation energy: 0.42 eV/f.u.
calculated total energy: -25.05 eV per atom
spin magnetization: 0.000 μB/f.u.

---

The following is a SCAN calculation of a crystal of CdCu8 relaxed with PBEsol, from the Alexandria database.

POSCAR file:
```
CdCu8
1.0
3.627 0.000 0.000
1.813 5.499 0.000
1.813 0.000 5.499
Cu Cd
8 1
direct
0.340 0.660 0.660
0.674 0.651 0.000
0.326 0.000 0.349
0.000 0.340 0.660
0.326 0.349 0.000
0.000 0.660 0.340
0.660 0.340 0.340
0.674 0.000 0.651
0.000 0.000 0.000
```

## Properties
calculated formation energy: 0.42 eV/f.u.
calculated total energy: -16.84 eV per atom
spin magnetization: 0.000 μB/f.u.

---

The following is a SCAN calculation of a crystal of CdCu5 relaxed with PBEsol, from the Alexandria database.

POSCAR file:
```
CdCu5
1.0
4.090 0.000 0.000
0.000 4.773 0.000
0.000 -2.386 4.133
Cd Cu
1 5
direct
0.000 0.000 0.000
0.000 0.667 0.333
0.500 0.000 0.500
0.000 0.333 0.667
0.500 0.500 0.000
0.500 0.500 0.500
```

## Properties
calculated formation energy: 0.50 eV/f.u.
calculated total energy: -17.65 eV per atom
spin magnetization: 0.000 μB/f.u.

---

The following is a SCAN calculation of a crystal of Cd4Cu relaxed with PBEsol, from the Alexandria database.

POSCAR file:
```
Cd4Cu
1.0
4.113 0.000 0.000
2.057 4.737 0.000
2.057 0.000 4.737
Cd Cu
4 1
direct
0.601 0.607 0.191
0.208 0.191 0.393
0.399 0.393 0.809
0.792 0.809 0.607
0.000 0.000 0.000
```

## Properties
calculated formation energy: 0.48 eV/f.u.
calculated total energy: -27.27 eV per atom
spin magnetization: 0.000 μB/f.u.

---

The following is a SCAN calculation of a crystal of CdCu5 relaxed with PBEsol, from the Alexandria database.

POSCAR file:
```
CdCu5
1.0
-0.939 2.454 0.652
-3.457 -1.750 1.607
3.470 -1.666 5.651
Cd Cu
1 5
direct
0.001 0.000 0.002
0.329 0.000 0.658
0.877 0.500 0.754
0.563 0.500 0.127
0.220 0.500 0.439
0.677 0.000 0.354
```

## Properties
calculated formation energy: 0.54 eV/f.u.
calculated total energy: -17.65 eV per atom
spin magnetization: 0.000 μB/f.u.

---

The following is a SCAN calculation of a crystal of CdCu2 relaxed with PBEsol, from the Alexandria database.

POSCAR file:
```
CdCu2
1.0
3.588 0.000 0.000
0.000 3.948 0.000
-1.794 0.000 5.944
Cu Cd
4 2
direct
0.248 0.750 0.496
0.598 0.750 0.195
0.402 0.250 0.805
0.752 0.250 0.504
0.912 0.750 0.825
0.088 0.250 0.175
```

## Properties
calculated formation energy: 0.25 eV/f.u.
calculated total energy: -20.19 eV per atom
spin magnetization: 0.000 μB/f.u.

---

The following is a SCAN calculation of a crystal of Cd5Cu2 relaxed with PBEsol, from the Alexandria database.

POSCAR file:
```
Cd5Cu2
1.0
8.147 0.000 0.000
-4.074 7.056 0.000
0.000 0.000 8.639
Cu Cd
8 20
direct
0.778 0.889 0.250
0.667 0.333 0.250
0.111 0.889 0.250
0.889 0.111 0.750
0.333 0.667 0.750
0.222 0.111 0.750
0.889 0.778 0.750
0.111 0.222 0.250
0.000 0.000 0.500
0.593 0.796 0.540
0.000 0.000 0.000
0.796 0.593 0.040
0.204 0.796 0.960
0.796 0.204 0.460
0.593 0.796 0.960
0.204 0.796 0.540
0.407 0.204 0.040
0.407 0.204 0.460
0.537 0.463 0.750
0.463 0.927 0.250
0.204 0.407 0.960
0.073 0.537 0.250
0.463 0.537 0.250
0.204 0.407 0.540
0.537 0.073 0.750
0.927 0.463 0.750
0.796 0.593 0.460
0.796 0.204 0.040
```

## Properties
calculated formation energy: 0.07 eV/f.u.
calculated total energy: -26.06 eV per atom
spin magnetization: 0.000 μB/f.u.

---

The following is a SCAN calculation of a crystal of CdCu2 relaxed with PBEsol, from the Alexandria database.

POSCAR file:
```
CdCu2
1.0
3.045 0.000 0.000
0.000 3.045 0.000
-1.522 -1.522 4.523
Cu Cd
2 1
direct
0.184 0.184 0.368
0.816 0.816 0.632
0.500 0.500 0.000
```

## Properties
calculated formation energy: 0.19 eV/f.u.
calculated total energy: -20.21 eV per atom
spin magnetization: 0.000 μB/f.u.

---

The following is a SCAN calculation of a crystal of CdCu5 relaxed with PBEsol, from the Alexandria database.

POSCAR file:
```
CdCu5
1.0
-2.409 -1.294 0.320
2.130 0.104 4.620
-2.850 5.134 -0.698
Cu Cd
5 1
direct
0.694 0.387 0.414
0.362 0.723 0.697
0.028 0.056 0.556
0.710 0.419 0.872
0.346 0.692 0.239
0.028 0.055 0.055
```

## Properties
calculated formation energy: 0.49 eV/f.u.
calculated total energy: -17.65 eV per atom
spin magnetization: 0.000 μB/f.u.